The following is a PBE calculation of a relaxed YSi2TcOs crystal, from Alexandria via LeMat-Bulk.

a = 4.165 Å, b = 4.165 Å, c = 9.831 Å
α = 90.00°, β = 90.00°, γ = 90.00°
Space group I-4m2 (No. 119)
Asymmetric unit:
Y: 0.000 0.000 0.000
Si: 0.000 0.000 0.374
Tc: 0.000 0.500 0.250
Os: 0.000 0.500 0.750

**Formation energy without anion corrections**: -673 meV per atom
**Calculated volume**: 17.06 Å³/atom
**Density of states at the Fermi level**: 0.931 states/eV/atom